# 1
{"formula": "Pu4Ge16Os3", "functional": "PBE", "state": "relaxed", "lattice_angstrom": [[6.187, 0.000, 0.000], [0.000, 6.187, 0.000], [0.000, 0.000, 11.204]], "species": ["Pu", "Pu", "Pu", "Pu", "Ge", "Ge", "Ge", "Ge", "Ge", "Ge", "Ge", "Ge", "Ge", "Ge", "Ge", "Ge", "Ge", "Ge", "Ge", "Ge", "Os", "Os", "Os"], "fractional_positions": [[0.000, 0.500, 0.189], [0.500, 0.000, 0.189], [0.000, 0.500, 0.811], [0.500, 0.000, 0.811], [0.500, 0.500, 0.787], [0.713, 0.713, 0.000], [0.713, 0.287, 0.000], [0.748, 0.252, 0.377], [0.748, 0.748, 0.377], [0.252, 0.252, 0.377], [0.748, 0.748, 0.623], [0.252, 0.252, 0.623], [0.748, 0.252, 0.623], [0.287, 0.287, 0.000], [0.287, 0.713, 0.000], [0.252, 0.748, 0.623], [0.000, 0.000, 0.230], [0.252, 0.748, 0.377], [0.000, 0.000, 0.770], [0.500, 0.500, 0.213], [0.500, 0.000, 0.500], [0.000, 0.500, 0.500], [0.000, 0.000, 0.000]], "e_tot_ev_per_atom": -7.40, "dos_at_fermi_per_ev_atom": 1.59}

# 2
{"formula": "Rb2Br", "functional": "PBE", "state": "relaxed", "lattice_angstrom": [[-0.356, 1.135, 4.169], [2.409, -3.420, 1.138], [5.883, 5.788, -3.333]], "species": ["Rb", "Rb", "Br"], "fractional_positions": [[0.878, 0.878, 0.756], [0.122, 0.122, 0.244], [0.500, 0.500, 0.000]], "e_tot_ev_per_atom": -2.28, "formation_energy_uncorrected_mev_per_atom": -1077, "dos_at_fermi_per_ev_atom": 0.26}

# 3
{"formula": "BaPmCu2Sb2", "functional": "PBE", "state": "relaxed", "lattice_angstrom": [[-1.951, -1.715, 3.669], [-0.122, -2.269, -3.879], [7.761, -4.154, 2.185]], "species": ["Cu", "Cu", "Sb", "Sb", "Pm", "Ba"], "fractional_positions": [[0.667, 0.333, 0.302], [0.333, 0.667, 0.698], [0.667, 0.333, 0.729], [0.333, 0.667, 0.271], [0.000, 0.000, 0.500], [0.000, 0.000, 0.000]], "e_tot_ev_per_atom": -4.57, "formation_energy_uncorrected_mev_per_atom": -713, "dos_at_fermi_per_ev_atom": 0.69}